No. 1
# Ag2TeAu (PBE, optimized geometry)
# Density = 11.0 Mg/m³
# Calculated total energy = -23.63 eV per cell
# Crystal system = tetragonal
# Formation energy from raw total energies = 29.5 kJ/mol of formula units
data_Ag2TeAu
_cell_length_a 4.261
_cell_length_b 4.261
_cell_length_c 8.999
_cell_angle_alpha 90.00
_cell_angle_beta 90.00
_cell_angle_gamma 90.00
_space_group_name_H-M_alt 'I -4 m 2'
_space_group_IT_number 119
_space_group_name_Hall 'I -4 -2'
loop_
_atom_site_label
_atom_site_fract_x
_atom_site_fract_y
_atom_site_fract_z
Ag1 0.000 0.000 0.000
Ag2 0.000 0.500 0.250
Te1 0.000 0.500 0.750
Au1 0.000 0.000 0.500

No. 2
# TbAgPd5 (PBE, optimized geometry)
# Density = 10.1 Mg/m³
# Calculated total energy = -70.69 eV per cell
# Crystal system = orthorhombic
# Formation energy from the elements = -26.2 kJ/mol of atoms
data_TbAgPd5
_cell_length_a 5.148
_cell_length_b 5.379
_cell_length_c 9.451
_cell_angle_alpha 90.00
_cell_angle_beta 90.00
_cell_angle_gamma 90.00
_space_group_name_H-M_alt 'I m m 2'
_space_group_IT_number 44
loop_
_space_group_symop_operation_xyz
'x,y,z'
'-x,-y,z'
'-x,y,z'
'x,-y,z'
'x+1/2,y+1/2,z+1/2'
'-x+1/2,-y+1/2,z+1/2'
'-x+1/2,y+1/2,z+1/2'
'x+1/2,-y+1/2,z+1/2'
loop_
_atom_site_label
_atom_site_fract_x
_atom_site_fract_y
_atom_site_fract_z
Tb1 0.000 0.000 0.000
Ag1 0.000 0.500 0.716
Pd1 0.000 0.000 0.728
Pd2 0.000 0.256 0.258
Pd3 0.249 0.500 0.984